VASP calculation (PBE with a Hubbard U) on a geometry-optimized BaSrPrCoO6 structure.

```
BaSrPrCoO6
1.0
0.000 4.176 4.176
4.176 0.000 4.176
4.176 4.176 0.000
Ba Sr Pr Co O
1 1 1 1 6
direct
0.000 0.000 0.000 Ba
0.500 0.500 0.500 Sr
0.750 0.750 0.750 Pr
0.250 0.250 0.250 Co
0.026 0.026 0.474 O
0.026 0.474 0.026 O
0.026 0.474 0.474 O
0.474 0.026 0.026 O
0.474 0.026 0.474 O
0.474 0.474 0.026 O
```

Calculated values
Space-group type: F-43m, No. 216
Electronic total energy in eV per cell: -63.77
N(E_F) in states/eV/atom: 0.5881
Relative energy among the computed polymorphs in eV/atom: 0.039